No. 1
A plane-wave DFT calculation with PBE was carried out for a relaxed CoBiPCl2 crystal.

Lattice parameters (Å, degrees): 4.536 4.536 4.782 90.00 90.00 90.00
Site moments in Bohr magnetons follow the coordinates.
Fractional coordinates of all 5 atoms:
Bi1 0.500 0.500 0.500  -0.05
P1 0.000 0.000 0.500  -0.01
Cl1 0.500 0.000 0.000  0.01
Cl2 0.000 0.500 0.000  0.01
Co1 0.000 0.000 0.000  0.79

**Space group**: P4/mmm (123)
**Theoretical density**: 6.2 g/cm3
**Density of states at the Fermi level**: 3.648 states/eV/f.u.
**Uncorrected formation energy**: 6.05 kJ per mole of atoms

---

No. 2
A plane-wave DFT calculation with PBE was carried out for a relaxed RbCo2BiCl crystal.

Lattice parameters (Å, degrees): 5.181 5.449 5.181 90.00 90.00 90.00
Site moments in Bohr magnetons follow the coordinates.
Fractional coordinates of all 5 atoms:
Co1 0.500 0.000 0.000  1.96
Co2 0.000 0.000 0.500  1.75
Rb1 0.000 0.000 0.000  0.00
Bi1 0.500 0.500 0.500  0.02
Cl1 0.000 0.500 0.000  0.01

**Space group**: P4/mmm (123)
**Theoretical density**: 5.1 g/cm3
**Density of states at the Fermi level**: 6.835 states/eV/f.u.
**Uncorrected formation energy**: 152.59 kJ per mole of atoms

---

No. 3
A plane-wave DFT calculation with PBE was carried out for a relaxed RbCoBiCl6 crystal.

Lattice parameters (Å, degrees): 6.830 6.808 7.300 90.18 90.09 60.11
Site moments in Bohr magnetons follow the coordinates.
Fractional coordinates of all 9 atoms:
Cl1 0.970 0.393 0.297  0.05
Cl2 0.970 0.637 0.703  0.05
Cl3 0.642 0.970 0.300  0.05
Cl4 0.388 0.643 0.300  0.06
Cl5 0.388 0.969 0.700  0.06
Cl6 0.642 0.388 0.700  0.05
Rb1 0.000 0.000 0.000  0.00
Co1 0.666 0.667 0.500  2.52
Bi1 0.333 0.334 0.500  0.00

**Space group**: C2 (5)
**Theoretical density**: 3.2 g/cm3
**Density of states at the Fermi level**: 0.481 states/eV/f.u.
**Uncorrected formation energy**: -103.52 kJ per mole of atoms